Here is a crystal of MnCuSi2Te relaxed with PBEsol from Alexandria via LeMat-Bulk. Energies are from meta-GGA SCAN.

As for the space group: P4/mmm (123). The density is 5.50 g/cm3. The value obtained for the uncorrected formation energy is 0.600 eV per atom. As for the total energy: -17.5476 eV/atom.

a = 4.360 Å, b = 4.360 Å, c = 4.800 Å
α = 90.00°, β = 90.00°, γ = 90.00°
Fractional coordinates of all 5 atoms:
1 Mn 0.000 0.000 0.000
2 Cu 0.000 0.000 0.500
3 Si 0.000 0.500 0.000
4 Si 0.500 0.000 0.000
5 Te 0.500 0.500 0.500


Here is a crystal of Mn3CuSn relaxed with PBEsol from Alexandria via LeMat-Bulk. Energies are from meta-GGA SCAN.

As for the space group: Pm-3m (221). The density is 4.87 g/cm3. The formation energy is 1.009 eV/atom. As for the total energy: -20.1681 eV/atom.

a = 4.908 Å, b = 4.908 Å, c = 4.908 Å
α = 90.00°, β = 90.00°, γ = 90.00°
Fractional coordinates of all 5 atoms:
1 Mn 0.000 0.000 0.500
2 Mn 0.000 0.500 0.000
3 Mn 0.500 0.000 0.000
4 Cu 0.500 0.500 0.500
5 Sn 0.000 0.000 0.000


Here is a crystal of MnCu2SnTe4 relaxed with PBEsol from Alexandria via LeMat-Bulk. Energies are from meta-GGA SCAN.

As for the space group: I-42m (121). The density is 6.00 g/cm3. The value obtained for the uncorrected formation energy is -0.233 eV per atom. As for the total energy: -29.4309 eV/atom.

a = 7.446 Å, b = 7.446 Å, c = 7.446 Å
α = 131.84°, β = 131.84°, γ = 70.48°
Fractional coordinates of all 8 atoms:
1 Mn 0.000 0.000 0.000
2 Cu 0.250 0.750 0.500
3 Cu 0.750 0.250 0.500
4 Sn 0.500 0.500 0.000
5 Te 0.097 0.097 0.471
6 Te 0.374 0.903 0.000
7 Te 0.626 0.626 0.529
8 Te 0.903 0.374 0.000


Here is a crystal of SrMn2Cu relaxed with PBEsol from Alexandria via LeMat-Bulk. Energies are from meta-GGA SCAN.

As for the space group: P2/m (10). For the energy above the lowest structure with this stoichiometry, the calculation gives 0 meV per atom. The density is 5.66 g/cm3. The formation energy is 0.342 eV/atom. As for the total energy: -18.1539 eV/atom.

a = 2.989 Å, b = 4.051 Å, c = 6.485 Å
α = 90.00°, β = 102.73°, γ = 90.00°
Fractional coordinates of all 4 atoms:
1 Sr 0.000 0.000 0.000
2 Mn 0.380 0.500 0.669
3 Mn 0.620 0.500 0.331
4 Cu 0.000 0.000 0.500


Here is a crystal of SrMnCu relaxed with PBEsol from Alexandria via LeMat-Bulk. Energies are from meta-GGA SCAN.

As for the space group: P-6m2 (187). The density is 4.99 g/cm3. The formation energy is 0.121 eV/atom. As for the total energy: -18.4553 eV/atom.

a = 4.220 Å, b = 4.220 Å, c = 4.445 Å
α = 90.00°, β = 90.00°, γ = 120.00°
Fractional coordinates of all 3 atoms:
1 Sr 0.000 0.000 0.000
2 Mn 0.667 0.333 0.500
3 Cu 0.333 0.667 0.500


Here is a crystal of Sr3MnCu relaxed with PBEsol from Alexandria via LeMat-Bulk. Energies are from meta-GGA SCAN.

As for the space group: Pm-3m (221). The density is 3.33 g/cm3. The formation energy is 0.285 eV/atom. As for the total energy: -19.7710 eV/atom.

a = 5.748 Å, b = 5.748 Å, c = 5.748 Å
α = 90.00°, β = 90.00°, γ = 90.00°
Fractional coordinates of all 5 atoms:
1 Sr 0.000 0.000 0.500
2 Sr 0.000 0.500 0.000
3 Sr 0.500 0.000 0.000
4 Mn 0.500 0.500 0.500
5 Cu 0.000 0.000 0.000